1.
! PuFeNi11 (PBE, optimized geometry); values from VASP
! Symmetry ... C2/m (12)
! Energy of formation from the pure elements ... -0.0623 eV per atom
&SYSTEM
  ibrav = 0, nat = 13, ntyp = 3
/
ATOMIC_SPECIES
Ni 58.69 Ni.upf
Fe 55.84 Fe.upf
Pu 244.00 Pu.upf
CELL_PARAMETERS angstrom
0.0636 2.4622 4.0233
5.6838 0.0363 2.6257
1.3698 6.0378 -0.9511
ATOMIC_POSITIONS crystal
Ni 0.2808 0.2211 0.2211
Ni 0.7192 0.7789 0.7789
Ni 0.0000 0.0000 0.5000
Ni 0.3510 0.6452 0.6466
Ni 0.6490 0.3548 0.3534
Ni 0.0024 0.3548 0.6466
Ni 0.9976 0.6452 0.3534
Ni 0.5000 0.0000 0.5000
Ni 0.5019 0.2211 0.7789
Ni 0.0000 0.5000 0.0000
Ni 0.4981 0.7789 0.2211
Fe 0.5000 0.5000 0.0000
Pu 0.0000 0.0000 0.0000

=====

2.
! Pu2Fe2Ni15 (PBE, optimized geometry); values from VASP
! Symmetry ... R-3m (166)
! Energy of formation from the pure elements ... -0.0835 eV per atom
&SYSTEM
  ibrav = 0, nat = 19, ntyp = 3
/
ATOMIC_SPECIES
Ni 58.69 Ni.upf
Pu 244.00 Pu.upf
Fe 55.84 Fe.upf
CELL_PARAMETERS angstrom
-5.8567 -1.6347 1.5399
1.3786 -5.5385 2.6018
0.1736 1.9435 5.9613
ATOMIC_POSITIONS crystal
Ni 0.8474 0.3441 0.3441
Ni 0.0000 0.5000 0.0000
Ni 0.7017 0.2983 0.0000
Ni 0.6559 0.6559 0.1526
Ni 0.0000 0.2983 0.7017
Ni 0.0000 0.0000 0.5000
Ni 0.6559 0.1526 0.6559
Ni 0.2983 0.7017 0.0000
Ni 0.2983 0.0000 0.7017
Ni 0.5000 0.0000 0.0000
Ni 0.0000 0.7017 0.2983
Ni 0.3441 0.3441 0.8474
Ni 0.3441 0.8474 0.3441
Ni 0.7017 0.0000 0.2983
Ni 0.1526 0.6559 0.6559
Pu 0.6554 0.6554 0.6554
Pu 0.3446 0.3446 0.3446
Fe 0.0940 0.0940 0.0940
Fe 0.9060 0.9060 0.9060

=====

3.
! PuFeNi2 (PBE, optimized geometry); values from VASP
! Symmetry ... P4/mmm (123)
! E above lowest polymorph ... 0 meV/atom
! Energy of formation from the pure elements ... 0.0421 eV per atom
&SYSTEM
  ibrav = 0, nat = 4, ntyp = 3
/
ATOMIC_SPECIES
Ni 58.69 Ni.upf
Fe 55.84 Fe.upf
Pu 244.00 Pu.upf
CELL_PARAMETERS angstrom
-2.5270 -0.5809 -1.2559
1.3501 -1.6078 -1.9729
-0.7421 -5.6772 4.1188
ATOMIC_POSITIONS crystal
Ni 0.0000 0.0000 0.1922
Ni 0.0000 0.0000 0.8078
Fe 0.5000 0.5000 0.0000
Pu 0.5000 0.5000 0.5000

=====

4.
! PuFeNi2 (PBE, optimized geometry); values from VASP
! Symmetry ... Fm-3m (225)
! E above lowest polymorph ... 227 meV/atom
! Energy of formation from the pure elements ... 0.2693 eV per atom
&SYSTEM
  ibrav = 0, nat = 4, ntyp = 3
/
ATOMIC_SPECIES
Ni 58.69 Ni.upf
Pu 244.00 Pu.upf
Fe 55.84 Fe.upf
CELL_PARAMETERS angstrom
4.4193 0.0000 0.0000
2.2096 3.8272 0.0000
2.2096 1.2757 3.6123
ATOMIC_POSITIONS crystal
Ni 0.2498 0.2498 0.2506
Ni 0.7502 0.7502 0.7494
Pu 0.0000 0.0000 0.0000
Fe 0.5000 0.5000 0.5000

=====

5.
! PuFeNiRu (PBE, optimized geometry); values from VASP
! Symmetry ... F-43m (216)
! Energy of formation from the pure elements ... 0.1734 eV per atom
&SYSTEM
  ibrav = 0, nat = 4, ntyp = 4
/
ATOMIC_SPECIES
Pu 244.00 Pu.upf
Ni 58.69 Ni.upf
Fe 55.84 Fe.upf
Ru 101.07 Ru.upf
CELL_PARAMETERS angstrom
-4.0601 1.7162 0.6129
-2.4296 -1.2340 3.5185
-0.7237 2.8717 3.3219
ATOMIC_POSITIONS crystal
Pu 0.5000 0.5000 0.5000
Ni 0.2500 0.2500 0.2500
Fe 0.0000 0.0000 0.0000
Ru 0.7500 0.7500 0.7500

=====

6.
! PuFeNiSn (PBE, optimized geometry); values from VASP
! Symmetry ... F-43m (216)
! Energy of formation from the pure elements ... -0.1353 eV per atom
&SYSTEM
  ibrav = 0, nat = 4, ntyp = 4
/
ATOMIC_SPECIES
Sn 118.71 Sn.upf
Pu 244.00 Pu.upf
Ni 58.69 Ni.upf
Fe 55.84 Fe.upf
CELL_PARAMETERS angstrom
-1.9185 -3.4055 -2.4590
2.6277 -2.6413 -2.7283
0.8073 -4.4035 1.1325
ATOMIC_POSITIONS crystal
Sn 0.5000 0.5000 0.5000
Pu 0.0000 0.0000 0.0000
Ni 0.2500 0.2500 0.2500
Fe 0.7500 0.7500 0.7500

=====

7.
! RbFe2Ni (PBE, optimized geometry); values from VASP
! Symmetry ... I4_1/amd (141)
! E above lowest polymorph ... 0 meV/atom
! Energy of formation from the pure elements ... 1.0451 eV per atom
&SYSTEM
  ibrav = 0, nat = 8, ntyp = 3
/
ATOMIC_SPECIES
Ni 58.69 Ni.upf
Fe 55.84 Fe.upf
Rb 85.47 Rb.upf
CELL_PARAMETERS angstrom
-0.9326 -4.6628 -1.6422
2.6102 -1.8837 3.8661
-5.7868 -3.4868 5.4811
ATOMIC_POSITIONS crystal
Ni 0.2500 0.7500 0.5000
Ni 0.5000 0.5000 0.0000
Fe 0.8750 0.6252 0.7500
Fe 0.3748 0.6250 0.2500
Fe 0.3752 0.1250 0.2500
Fe 0.3750 0.6248 0.7500
Rb 0.0000 0.0000 0.0000
Rb 0.7500 0.2500 0.5000

=====

8.
! RbFe2Ni (PBE, optimized geometry); values from VASP
! Symmetry ... Fm-3m (225)
! E above lowest polymorph ... 439 meV/atom
! Energy of formation from the pure elements ... 1.4841 eV per atom
&SYSTEM
  ibrav = 0, nat = 4, ntyp = 3
/
ATOMIC_SPECIES
Rb 85.47 Rb.upf
Ni 58.69 Ni.upf
Fe 55.84 Fe.upf
CELL_PARAMETERS angstrom
1.3413 -1.2228 4.2215
1.6917 3.1576 2.8780
-2.4460 1.3182 3.6599
ATOMIC_POSITIONS crystal
Rb 0.5000 0.5000 0.5000
Ni 0.0000 0.0000 0.0000
Fe 0.7500 0.7500 0.7500
Fe 0.2500 0.2500 0.2500

=====

9.
! RbFe2ReNi (PBE, optimized geometry); values from VASP
! Symmetry ... P4/mmm (123)
! Energy of formation from the pure elements ... 2.9915 eV per atom
&SYSTEM
  ibrav = 0, nat = 5, ntyp = 4
/
ATOMIC_SPECIES
Ni 58.69 Ni.upf
Fe 55.84 Fe.upf
Rb 85.47 Rb.upf
Re 186.21 Re.upf
CELL_PARAMETERS angstrom
4.5969 0.0000 0.0000
0.0000 4.4031 0.0000
0.0000 0.0000 4.5969
ATOMIC_POSITIONS crystal
Ni 0.0000 0.5000 0.0000
Fe 0.0000 0.0000 0.5000
Fe 0.5000 0.0000 0.0000
Rb 0.0000 0.0000 0.0000
Re 0.5000 0.5000 0.5000

=====

10.
! Rb2FeNiS4 (PBE, optimized geometry); values from VASP
! Symmetry ... Fddd (70)
! E_form (uncorrected) ... -0.737 eV/atom
&SYSTEM
  ibrav = 0, nat = 16, ntyp = 4
/
ATOMIC_SPECIES
Fe 55.84 Fe.upf
Rb 85.47 Rb.upf
Ni 58.69 Ni.upf
S 32.06 S.upf
CELL_PARAMETERS angstrom
-4.5271 -2.8464 -0.5854
-1.2546 -4.2651 5.7225
-8.3232 7.1703 4.7837
ATOMIC_POSITIONS crystal
Fe 0.7500 0.5000 0.5000
Fe 0.0000 0.0000 0.0000
Rb 0.1789 0.0000 0.6423
Rb 0.5711 0.5000 0.8577
Rb 0.8211 0.0000 0.3577
Rb 0.9289 0.5000 0.1423
Ni 0.2500 0.5000 0.5000
Ni 0.5000 0.0000 0.0000
S 0.2056 0.1818 0.8960
S 0.8516 0.6818 0.6040
S 0.1373 0.3182 0.3960
S 0.4667 0.6818 0.3960
S 0.8984 0.8182 0.8960
S 0.2833 0.8182 0.1040
S 0.5444 0.3182 0.6040
S 0.6127 0.1818 0.1040

=====

11.
! RbFe2NiS4 (PBE, optimized geometry); values from VASP
! Symmetry ... I-42m (121)
! E_form (uncorrected) ... -0.363 eV/atom
&SYSTEM
  ibrav = 0, nat = 8, ntyp = 4
/
ATOMIC_SPECIES
S 32.06 S.upf
Fe 55.84 Fe.upf
Ni 58.69 Ni.upf
Rb 85.47 Rb.upf
CELL_PARAMETERS angstrom
5.5392 0.0000 0.0000
2.7696 5.5926 1.3864
2.7696 1.8400 5.4602
ATOMIC_POSITIONS crystal
S 0.4889 0.1496 0.5112
S 0.1497 0.8504 0.4888
S 0.8503 0.5112 0.1496
S 0.5111 0.4888 0.8504
Fe 0.7501 0.7499 0.7499
Fe 0.2499 0.2501 0.2501
Ni 0.5000 0.5000 0.5000
Rb 0.0000 0.0000 0.0000

=====

12.
! RbTaFe2Ni (PBE, optimized geometry); values from VASP
! Symmetry ... P4/mmm (123)
! Energy of formation from the pure elements ... 2.6813 eV per atom
&SYSTEM
  ibrav = 0, nat = 5, ntyp = 4
/
ATOMIC_SPECIES
Fe 55.84 Fe.upf
Ni 58.69 Ni.upf
Rb 85.47 Rb.upf
Ta 180.95 Ta.upf
CELL_PARAMETERS angstrom
4.4033 0.0000 0.0000
0.0000 4.3755 0.0000
0.0000 0.0000 4.4033
ATOMIC_POSITIONS crystal
Fe 0.5000 0.0000 0.0000
Fe 0.0000 0.0000 0.5000
Ni 0.0000 0.5000 0.0000
Rb 0.0000 0.0000 0.0000
Ta 0.5000 0.5000 0.5000

=====

13.
! RbTlFeNi2 (PBE, optimized geometry); values from VASP
! Symmetry ... P4/mmm (123)
! Energy of formation from the pure elements ... 1.1854 eV per atom
&SYSTEM
  ibrav = 0, nat = 5, ntyp = 4
/
ATOMIC_SPECIES
Tl 204.38 Tl.upf
Ni 58.69 Ni.upf
Rb 85.47 Rb.upf
Fe 55.84 Fe.upf
CELL_PARAMETERS angstrom
-1.6423 3.4255 -3.3234
0.1225 -3.5385 -3.7077
-4.7713 -1.2671 1.0517
ATOMIC_POSITIONS crystal
Tl 0.0000 0.0000 0.0000
Ni 0.5000 0.0000 0.0000
Ni 0.0000 0.0000 0.5000
Rb 0.5000 0.5000 0.5000
Fe 0.0000 0.5000 0.0000

=====

14.
! Rb2TlFeNi (PBE, optimized geometry); values from VASP
! Symmetry ... P4/mmm (123)
! Energy of formation from the pure elements ... 0.7747 eV per atom
&SYSTEM
  ibrav = 0, nat = 5, ntyp = 4
/
ATOMIC_SPECIES
Rb 85.47 Rb.upf
Ni 58.69 Ni.upf
Tl 204.38 Tl.upf
Fe 55.84 Fe.upf
CELL_PARAMETERS angstrom
6.5808 0.0000 0.0000
0.0000 4.4360 0.0000
0.0000 0.0000 6.5808
ATOMIC_POSITIONS crystal
Rb 0.5000 0.0000 0.0000
Rb 0.0000 0.0000 0.5000
Ni 0.0000 0.0000 0.0000
Tl 0.5000 0.5000 0.5000
Fe 0.0000 0.5000 0.0000

=====

15.
! RbV2FeNi (PBE, optimized geometry); values from VASP
! Symmetry ... P4/mmm (123)
! Energy of formation from the pure elements ... 1.6598 eV per atom
&SYSTEM
  ibrav = 0, nat = 5, ntyp = 4
/
ATOMIC_SPECIES
Ni 58.69 Ni.upf
Fe 55.84 Fe.upf
Rb 85.47 Rb.upf
V 50.94 V.upf
CELL_PARAMETERS angstrom
-4.1240 -1.1453 -0.2884
1.1198 -4.8149 3.1084
-0.8474 2.1399 3.6201
ATOMIC_POSITIONS crystal
Ni 0.5000 0.5000 0.5000
Fe 0.0000 0.0000 0.0000
Rb 0.0000 0.5000 0.0000
V 0.0000 0.0000 0.5000
V 0.5000 0.0000 0.0000

=====

16.
! FeReNi2 (PBE, optimized geometry); values from VASP
! Symmetry ... Cmmm (65)
! E above lowest polymorph ... 50 meV/atom
! Energy of formation from the pure elements ... 0.0584 eV per atom
&SYSTEM
  ibrav = 0, nat = 4, ntyp = 3
/
ATOMIC_SPECIES
Re 186.21 Re.upf
Ni 58.69 Ni.upf
Fe 55.84 Fe.upf
CELL_PARAMETERS angstrom
4.5367 0.0383 0.0053
-1.7044 4.2045 0.0053
-0.0032 -0.0049 2.5507
ATOMIC_POSITIONS crystal
Re 0.5000 0.0000 0.5000
Ni 0.5000 0.5000 0.0000
Ni 0.0000 0.0000 0.0000
Fe 0.0000 0.5000 0.5000

=====

17.
! FeRe2Ni (PBE, optimized geometry); values from VASP
! Symmetry ... P4mm (99)
! E above lowest polymorph ... 90 meV/atom
! Energy of formation from the pure elements ... 0.1123 eV per atom
&SYSTEM
  ibrav = 0, nat = 4, ntyp = 3
/
ATOMIC_SPECIES
Re 186.21 Re.upf
Ni 58.69 Ni.upf
Fe 55.84 Fe.upf
CELL_PARAMETERS angstrom
2.6656 0.0103 0.0000
-0.0104 2.6656 0.0000
0.0000 0.0000 7.3691
ATOMIC_POSITIONS crystal
Re 0.5000 0.5000 0.2721
Re 0.0000 0.0000 0.9822
Ni 0.5000 0.5000 0.7393
Fe 0.0000 0.0000 0.5064

=====

18.
! FeRe2Ni (PBE, optimized geometry); values from VASP
! Symmetry ... Fm-3m (225)
! E above lowest polymorph ... 234 meV/atom
! Energy of formation from the pure elements ... 0.2568 eV per atom
&SYSTEM
  ibrav = 0, nat = 4, ntyp = 3
/
ATOMIC_SPECIES
Re 186.21 Re.upf
Fe 55.84 Fe.upf
Ni 58.69 Ni.upf
CELL_PARAMETERS angstrom
2.1687 -3.5616 -0.4793
1.1618 -2.2192 3.3680
-1.8232 -3.6927 0.8113
ATOMIC_POSITIONS crystal
Re 0.7500 0.7500 0.7500
Re 0.2500 0.2500 0.2500
Fe 0.0000 0.0000 0.0000
Ni 0.5000 0.5000 0.5000

=====

19.
! FeRe2Ni (PBE, optimized geometry); values from VASP
! Symmetry ... P4/mmm (123)
! E above lowest polymorph ... 175 meV/atom
! Energy of formation from the pure elements ... 0.1978 eV per atom
&SYSTEM
  ibrav = 0, nat = 4, ntyp = 3
/
ATOMIC_SPECIES
Re 186.21 Re.upf
Fe 55.84 Fe.upf
Ni 58.69 Ni.upf
CELL_PARAMETERS angstrom
3.1258 0.0000 0.0000
0.0000 3.1258 0.0000
0.0000 0.0000 5.3529
ATOMIC_POSITIONS crystal
Re 0.0000 0.0000 0.9969
Re 0.0000 0.0000 0.5031
Fe 0.5000 0.5000 0.2500
Ni 0.5000 0.5000 0.7500

=====

20.
! FeReNi2 (PBE, optimized geometry); values from VASP
! Symmetry ... F-43m (216)
! E above lowest polymorph ... 123 meV/atom
! Energy of formation from the pure elements ... 0.1319 eV per atom
&SYSTEM
  ibrav = 0, nat = 4, ntyp = 3
/
ATOMIC_SPECIES
Fe 55.84 Fe.upf
Ni 58.69 Ni.upf
Re 186.21 Re.upf
CELL_PARAMETERS angstrom
4.0852 0.0000 0.0000
2.0426 3.5379 0.0000
2.0426 1.1793 3.3355
ATOMIC_POSITIONS crystal
Fe 0.5000 0.5000 0.5000
Ni 0.2500 0.2500 0.2500
Ni 0.0000 0.0000 0.0000
Re 0.7500 0.7500 0.7500

=====

21.
! Fe2Re2Ni (PBE, optimized geometry); values from VASP
! Symmetry ... P4/mbm (127)
! Energy of formation from the pure elements ... 0.2288 eV per atom
&SYSTEM
  ibrav = 0, nat = 10, ntyp = 3
/
ATOMIC_SPECIES
Re 186.21 Re.upf
Fe 55.84 Fe.upf
Ni 58.69 Ni.upf
CELL_PARAMETERS angstrom
6.9747 0.0000 0.0000
0.0000 6.9747 0.0000
0.0000 0.0000 2.6639
ATOMIC_POSITIONS crystal
Re 0.8302 0.3302 0.5000
Re 0.1698 0.6698 0.5000
Re 0.6698 0.8302 0.5000
Re 0.3302 0.1698 0.5000
Fe 0.3744 0.8744 0.0000
Fe 0.8744 0.6256 0.0000
Fe 0.1256 0.3744 0.0000
Fe 0.6256 0.1256 0.0000
Ni 0.0000 0.0000 0.0000
Ni 0.5000 0.5000 0.0000

=====

22.
! FeReNi2 (PBE, optimized geometry); values from VASP
! Symmetry ... P4mm (99)
! E above lowest polymorph ... 84 meV/atom
! Energy of formation from the pure elements ... 0.0926 eV per atom
&SYSTEM
  ibrav = 0, nat = 4, ntyp = 3
/
ATOMIC_SPECIES
Ni 58.69 Ni.upf
Re 186.21 Re.upf
Fe 55.84 Fe.upf
CELL_PARAMETERS angstrom
-0.6423 0.0154 -2.9106
-1.3979 -2.6160 0.2946
-4.6336 2.5926 1.0362
ATOMIC_POSITIONS crystal
Ni 0.5000 0.5000 0.2306
Ni 0.0000 0.0000 0.0000
Re 0.0000 0.0000 0.4995
Fe 0.5000 0.5000 0.7699

=====

23.
! FeRe2Ni (PBE, optimized geometry); values from VASP
! Symmetry ... P4/mmm (123)
! E above lowest polymorph ... 46 meV/atom
! Energy of formation from the pure elements ... 0.0683 eV per atom
&SYSTEM
  ibrav = 0, nat = 4, ntyp = 3
/
ATOMIC_SPECIES
Fe 55.84 Fe.upf
Ni 58.69 Ni.upf
Re 186.21 Re.upf
CELL_PARAMETERS angstrom
3.7221 0.0000 0.0000
0.0000 3.7208 0.0000
0.0000 0.0000 3.7564
ATOMIC_POSITIONS crystal
Fe 0.5000 0.0000 0.5000
Ni 0.0000 0.5000 0.5000
Re 0.5000 0.5000 0.0000
Re 0.0000 0.0000 0.0000

=====

24.
! Fe2ReNi9 (PBE, optimized geometry); values from VASP
! Symmetry ... P4/mmm (123)
! Energy of formation from the pure elements ... -0.0165 eV per atom
&SYSTEM
  ibrav = 0, nat = 12, ntyp = 3
/
ATOMIC_SPECIES
Ni 58.69 Ni.upf
Re 186.21 Re.upf
Fe 55.84 Fe.upf
CELL_PARAMETERS angstrom
3.5725 0.0000 0.0000
0.0000 3.5725 0.0000
0.0000 0.0000 10.7124
ATOMIC_POSITIONS crystal
Ni 0.5000 0.0000 0.1684
Ni 0.0000 0.5000 0.5000
Ni 0.5000 0.0000 0.8316
Ni 0.5000 0.5000 0.3347
Ni 0.0000 0.5000 0.8316
Ni 0.0000 0.5000 0.1684
Ni 0.5000 0.0000 0.5000
Ni 0.5000 0.5000 0.6653
Ni 0.5000 0.5000 0.0000
Re 0.0000 0.0000 0.0000
Fe 0.0000 0.0000 0.3386
Fe 0.0000 0.0000 0.6614

=====

25.
! FeReNi2 (PBE, optimized geometry); values from VASP
! Symmetry ... R3m (160)
! E above lowest polymorph ... 77 meV/atom
! Energy of formation from the pure elements ... 0.0852 eV per atom
&SYSTEM
  ibrav = 0, nat = 4, ntyp = 3
/
ATOMIC_SPECIES
Re 186.21 Re.upf
Ni 58.69 Ni.upf
Fe 55.84 Fe.upf
CELL_PARAMETERS angstrom
2.6343 0.0000 0.0000
1.3171 2.2814 0.0000
1.3171 0.7605 8.2817
ATOMIC_POSITIONS crystal
Re 0.5004 0.5004 0.4989
Ni 0.0814 0.0814 0.7558
Ni 0.2518 0.2518 0.2447
Fe 0.6665 0.6665 0.0006

=====

26.
! FeReNi2 (PBE, optimized geometry); values from VASP
! Symmetry ... R-3m (166)
! E above lowest polymorph ... 115 meV/atom
! Energy of formation from the pure elements ... 0.1240 eV per atom
&SYSTEM
  ibrav = 0, nat = 4, ntyp = 3
/
ATOMIC_SPECIES
Fe 55.84 Fe.upf
Ni 58.69 Ni.upf
Re 186.21 Re.upf
CELL_PARAMETERS angstrom
8.4561 -0.0126 -0.0074
8.0510 2.5858 -0.0074
8.0510 1.2551 2.2609
ATOMIC_POSITIONS crystal
Fe 0.7500 0.7500 0.7500
Ni 0.4978 0.4978 0.4978
Ni 0.0022 0.0022 0.0022
Re 0.2500 0.2500 0.2500

=====

27.
! FeRe2Ni (PBE, optimized geometry); values from VASP
! Symmetry ... I-4m2 (119)
! E above lowest polymorph ... 0 meV/atom
! Energy of formation from the pure elements ... 0.0225 eV per atom
&SYSTEM
  ibrav = 0, nat = 4, ntyp = 3
/
ATOMIC_SPECIES
Re 186.21 Re.upf
Fe 55.84 Fe.upf
Ni 58.69 Ni.upf
CELL_PARAMETERS angstrom
4.5622 0.0113 0.0041
1.4439 4.3277 -0.0041
-3.0055 -2.1661 2.6624
ATOMIC_POSITIONS crystal
Re 0.7500 0.2500 0.5000
Re 0.0000 0.0000 0.0000
Fe 0.5000 0.5000 0.0000
Ni 0.2500 0.7500 0.5000